The following is a PBE-GGA calculation of a relaxed FeAsPb2 crystal, from the Alexandria database.

Cell lengths 5.571, 5.571, 5.571 Å; angles 137.01, 125.79, 71.56 degrees
Last column: magnetic moment on the atom in μB.
Atoms (fractional coordinates):
Pb 0.487 0.487 0.000  -0.03
Pb 0.013 0.013 0.000  -0.03
As 0.750 0.250 0.500  -0.01
Fe 0.250 0.750 0.500  2.91

Values from the calculation:
The calculation puts the total magnetization at 2.83 μB/f.u. The density of states at the Fermi level is 1.24 states/eV/atom. Its formation enthalpy at 0 K is 0.57 eV per atom. The calculation puts the total energy at -18.24 eV per cell.

***

The following is a PBE-GGA calculation of a relaxed PmPr2Th3N6 crystal, from the Alexandria database.

Cell lengths 3.670, 7.318, 8.201 Å; angles 102.76, 102.93, 90.00 degrees
Atoms (fractional coordinates):
N 0.996 0.255 0.991
N 0.338 0.406 0.677
Th 0.500 0.500 0.000
Pr 0.833 0.667 0.667
N 0.669 0.071 0.337
Th 0.166 0.834 0.333
Pr 0.167 0.333 0.333
Pm 0.500 0.000 0.000
N 0.004 0.745 0.009
N 0.331 0.929 0.663
Th 0.834 0.166 0.667
N 0.662 0.594 0.323

Values from the calculation:
The calculation puts the total magnetization at 0.00 μB/f.u. The calculation puts the uncorrected formation energy at -1.51 eV per atom. The density of states at the Fermi level is 0.31 states/eV/atom. The calculation puts the total energy at -104.64 eV per cell.

***

The following is a PBE-GGA calculation of a relaxed ZnInMo crystal, from the Alexandria database.

Cell lengths 4.373, 4.373, 4.373 Å; angles 60.00, 60.00, 60.00 degrees
Last column: magnetic moment on the atom in μB.
Atoms (fractional coordinates):
In 0.000 0.000 0.000  -0.07
Mo 0.500 0.500 0.500  2.00
Zn 0.750 0.750 0.750  0.01

Values from the calculation:
The value obtained for the energy above the lowest structure with this stoichiometry is 335.8 meV per atom. The calculation puts the total magnetization at 2.18 μB/f.u. The density of states at the Fermi level is 0.61 states/eV/atom. Its formation enthalpy at 0 K is 0.67 eV per atom. The calculation puts the total energy at -12.83 eV per cell.

***

The following is a PBE-GGA calculation of a relaxed Y2Ho5Tm4 crystal, from the Alexandria database.

Cell lengths 3.470, 8.876, 12.502 Å; angles 110.79, 97.98, 90.00 degrees
Atoms (fractional coordinates):
Ho 0.858 0.054 0.716
Ho 0.858 0.662 0.716
Y 0.732 0.732 0.464
Tm 0.403 0.403 0.806
Ho 0.142 0.946 0.284
Ho 0.142 0.338 0.284
Tm 0.000 0.313 0.000
Tm 0.000 0.687 0.000
Ho 0.500 0.000 0.000
Tm 0.597 0.597 0.194
Y 0.268 0.268 0.536

Values from the calculation:
The value obtained for the energy above the lowest structure with this stoichiometry is 73.0 meV per atom. The calculation puts the total magnetization at 0.00 μB/f.u. The density of states at the Fermi level is 1.52 states/eV/atom. Its formation enthalpy at 0 K is 0.22 eV per atom. The calculation puts the total energy at -51.29 eV per cell.

***

The following is a PBE-GGA calculation of a relaxed InAsPt crystal, from the Alexandria database.

Cell lengths 3.641, 3.641, 5.543 Å; angles 90.00, 90.00, 120.00 degrees
Atoms (fractional coordinates):
As 0.000 0.000 0.943
In 0.667 0.333 0.358
Pt 0.333 0.667 0.700

Values from the calculation:
The calculation puts the total magnetization at 0.00 μB/f.u. The density of states at the Fermi level is 0.77 states/eV/atom. Its formation enthalpy at 0 K is -0.22 eV per atom. The calculation puts the total energy at -14.08 eV per cell.

***

The following is a PBE-GGA calculation of a relaxed Sc6SiTe3S2 crystal, from the Alexandria database.

Cell lengths 6.758, 6.758, 7.026 Å; angles 99.21, 99.21, 119.96 degrees
Atoms (fractional coordinates):
Sc 0.600 0.932 0.794
Te 0.500 0.500 0.500
Si 0.000 0.000 0.000
Sc 0.264 0.264 0.795
Te 0.834 0.166 0.500
S 0.333 0.667 0.000
Sc 0.932 0.600 0.794
S 0.667 0.333 0.000
Sc 0.068 0.400 0.206
Sc 0.736 0.736 0.205
Te 0.166 0.834 0.500
Sc 0.400 0.068 0.206

Values from the calculation:
The calculation puts the total magnetization at 0.00 μB/f.u. The calculation puts the uncorrected formation energy at -1.35 eV per atom. The density of states at the Fermi level is 0.45 states/eV/atom. The calculation puts the total energy at -77.27 eV per cell.

***

The following is a PBE-GGA calculation of a relaxed Li2AlGaF6 crystal, from the Alexandria database.

Cell lengths 5.148, 5.148, 6.416 Å; angles 66.33, 66.33, 59.99 degrees
Atoms (fractional coordinates):
Ga 0.816 0.816 0.551
F 0.960 0.559 0.227
F 0.074 0.378 0.876
Li 0.634 0.633 0.099
F 0.558 0.254 0.227
Li 0.999 0.999 0.003
F 0.255 0.960 0.227
F 0.672 0.074 0.876
Al 0.316 0.316 0.052
F 0.378 0.672 0.876

Values from the calculation:
The calculation puts the total magnetization at 0.00 μB/f.u. The calculation puts the uncorrected formation energy at -2.92 eV per atom. The density of states at the Fermi level is 0.00 states/eV/atom. The calculation puts the total energy at -50.99 eV per cell.

***

The following is a PBE-GGA calculation of a relaxed MnVCu2Ni crystal, from the Alexandria database.

Cell lengths 4.412, 4.215, 4.412 Å; angles 90.00, 90.00, 90.00 degrees
Last column: magnetic moment on the atom in μB.
Atoms (fractional coordinates):
Mn 0.500 0.500 0.500  4.12
Cu 0.500 0.000 0.000  0.02
V 0.000 0.500 0.000  -1.66
Cu 0.000 0.000 0.500  0.00
Ni 0.000 0.000 0.000  0.04

Values from the calculation:
The calculation puts the total magnetization at 2.50 μB/f.u. The density of states at the Fermi level is 0.85 states/eV/atom. Its formation enthalpy at 0 K is 0.84 eV per atom. The calculation puts the total energy at -28.05 eV per cell.